Version 1
## PrSmErTl (PBE-GGA)

Data for an optimized crystal structure of PrSmErTl.

a b c (Å): 4.877 4.907 5.011
angles (deg): 90.00 90.00 90.00
Atoms (fractional coordinates):
Pr: 0.000 0.000 0.000
Sm: 0.500 0.500 0.000
Er: 0.500 0.000 0.500
Tl: 0.000 0.500 0.500



Version 2
## PrSmErTl (PBE-GGA)

Data for an optimized crystal structure of PrSmErTl.

a b c (Å): 5.570 5.570 5.570
angles (deg): 60.00 60.00 60.00
Atoms (fractional coordinates):
Pr: 0.000 0.000 0.000
Sm: 0.500 0.500 0.500
Er: 0.250 0.250 0.250
Tl: 0.750 0.750 0.750



Stability ranking, top and bottom: version 1 is the most stable and version 2 is the least stable.



Version 1
## PrSmYEr (PBE-GGA)

Data for an optimized crystal structure of PrSmYEr.

a b c (Å): 6.231 6.231 6.231
angles (deg): 131.55 131.55 70.94
Atoms (fractional coordinates):
Pr: 0.000 0.000 0.000
Sm: 0.250 0.750 0.500
Y: 0.750 0.250 0.500
Er: 0.500 0.500 0.000



Version 2
## PrSmYEr (PBE-GGA)

Data for an optimized crystal structure of PrSmYEr.

a b c (Å): 5.743 5.743 5.743
angles (deg): 60.00 60.00 60.00
Atoms (fractional coordinates):
Pr: 0.000 0.000 0.000
Sm: 0.500 0.500 0.500
Y: 0.250 0.250 0.250
Er: 0.750 0.750 0.750



Stability ranking, top and bottom: version 1 is the most stable and version 2 is the least stable.



Version 1
## PrSmErZn (PBE-GGA)

Data for an optimized crystal structure of PrSmErZn.

a b c (Å): 5.430 5.430 5.430
angles (deg): 60.00 60.00 60.00
Atoms (fractional coordinates):
Pr: 0.000 0.000 0.000
Sm: 0.500 0.500 0.500
Er: 0.750 0.750 0.750
Zn: 0.250 0.250 0.250



Version 2
## PrSmErZn (PBE-GGA)

Data for an optimized crystal structure of PrSmErZn.

a b c (Å): 3.617 3.617 8.767
angles (deg): 90.00 90.00 90.00
Atoms (fractional coordinates):
Pr: 0.000 0.000 0.000
Sm: 0.500 0.500 0.697
Er: 0.500 0.500 0.292
Zn: 0.000 0.000 0.482



Stability ranking, top and bottom: version 2 is the most stable and version 1 is the least stable.



Version 1
## PrEr2Sn (PBE-GGA)

Data for an optimized crystal structure of PrEr2Sn.

a b c (Å): 5.465 5.465 5.465
angles (deg): 59.95 59.95 59.95
Atoms (fractional coordinates):
Pr: 0.000 0.000 0.000
Er: 0.500 0.500 0.500
Er: 0.751 0.751 0.751
Sn: 0.250 0.250 0.250



Version 2
## PrEr2Sn (PBE-GGA)

Data for an optimized crystal structure of PrEr2Sn.

a b c (Å): 3.778 3.778 8.406
angles (deg): 90.00 90.00 90.00
Atoms (fractional coordinates):
Pr: 0.000 0.000 0.000
Er: 0.500 0.500 0.287
Er: 0.500 0.500 0.713
Sn: 0.000 0.000 0.500



Stability ranking, top and bottom: version 2 is the most stable and version 1 is the least stable.



Version 1
## PrEr2Sn (PBE-GGA)

Data for an optimized crystal structure of PrEr2Sn.

a b c (Å): 4.661 4.748 11.443
angles (deg): 90.00 101.64 90.00
Atoms (fractional coordinates):
Pr: 0.192 0.250 0.386
Pr: 0.808 0.750 0.614
Er: 0.056 0.750 0.113
Er: 0.437 0.750 0.873
Er: 0.563 0.250 0.127
Er: 0.944 0.250 0.887
Sn: 0.341 0.250 0.678
Sn: 0.659 0.750 0.322



Version 2
## PrEr2Sn (PBE-GGA)

Data for an optimized crystal structure of PrEr2Sn.

a b c (Å): 12.024 12.024 12.024
angles (deg): 16.62 16.62 16.62
Atoms (fractional coordinates):
Pr: 0.000 0.000 0.000
Er: 0.096 0.096 0.096
Er: 0.904 0.904 0.904
Sn: 0.500 0.500 0.500



Version 3
## PrEr2Sn (PBE-GGA)

Data for an optimized crystal structure of PrEr2Sn.

a b c (Å): 4.871 4.871 4.818
angles (deg): 90.00 90.00 90.00
Atoms (fractional coordinates):
Pr: 0.000 0.000 0.000
Er: 0.000 0.500 0.500
Er: 0.500 0.000 0.500
Sn: 0.500 0.500 0.000



Version 4
## PrEr2Sn (PBE-GGA)

Data for an optimized crystal structure of PrEr2Sn.

a b c (Å): 6.935 6.935 7.082
angles (deg): 90.00 90.00 134.61
Atoms (fractional coordinates):
Pr: 0.067 0.933 0.750
Pr: 0.933 0.067 0.250
Er: 0.369 0.631 0.524
Er: 0.369 0.631 0.976
Er: 0.631 0.369 0.024
Er: 0.631 0.369 0.476
Sn: 0.183 0.817 0.250
Sn: 0.817 0.183 0.750



Stability ranking, top and bottom: version 1 is the most stable and version 2 is the least stable.



Version 1
## PrErSn (PBE-GGA)

Data for an optimized crystal structure of PrErSn.

a b c (Å): 4.645 4.645 11.097
angles (deg): 90.00 90.00 120.00
Atoms (fractional coordinates):
Pr: 0.000 0.000 0.211
Pr: 0.000 0.000 0.789
Er: 0.333 0.667 0.000
Er: 0.667 0.333 0.500
Sn: 0.333 0.667 0.351
Sn: 0.333 0.667 0.649



Version 2
## PrErSn (PBE-GGA)

Data for an optimized crystal structure of PrErSn.

a b c (Å): 5.117 5.117 4.132
angles (deg): 90.00 90.00 120.00
Atoms (fractional coordinates):
Pr: 0.000 0.000 0.000
Er: 0.667 0.333 0.478
Sn: 0.333 0.667 0.557



Stability ranking, top and bottom: version 2 is the most stable and version 1 is the least stable.



Version 1
## PrErSn (PBE-GGA)

Data for an optimized crystal structure of PrErSn.

a b c (Å): 9.151 9.151 9.151
angles (deg): 150.55 150.55 42.14
Atoms (fractional coordinates):
Pr: 0.176 0.176 0.000
Pr: 0.824 0.824 0.000
Er: 0.000 0.500 0.500
Er: 0.500 0.000 0.500
Sn: 0.369 0.369 0.000
Sn: 0.631 0.631 0.000



Version 2
## PrErSn (PBE-GGA)

Data for an optimized crystal structure of PrErSn.

a b c (Å): 7.482 7.482 7.482
angles (deg): 152.21 152.21 39.71
Atoms (fractional coordinates):
Pr: 0.000 0.000 0.000
Er: 0.697 0.697 0.000
Sn: 0.342 0.342 0.000



Stability ranking, top and bottom: version 1 is the most stable and version 2 is the least stable.



Version 1
## Tb2Pr3Er6 (PBE-GGA)

Data for an optimized crystal structure of Tb2Pr3Er6.

a b c (Å): 6.183 6.183 11.562
angles (deg): 95.18 95.18 120.13
Atoms (fractional coordinates):
Tb: 0.166 0.834 0.000
Tb: 0.834 0.166 0.000
Pr: 0.000 0.000 0.500
Pr: 0.336 0.664 0.500
Pr: 0.664 0.336 0.500
Er: 0.086 0.419 0.755
Er: 0.249 0.249 0.246
Er: 0.419 0.086 0.755
Er: 0.581 0.914 0.245
Er: 0.751 0.751 0.754
Er: 0.914 0.581 0.245



Version 2
## Tb2Pr3Er6 (PBE-GGA)

Data for an optimized crystal structure of Tb2Pr3Er6.

a b c (Å): 16.944 16.944 16.944
angles (deg): 163.86 163.86 22.90
Atoms (fractional coordinates):
Tb: 0.046 0.046 0.000
Tb: 0.954 0.954 0.000
Pr: 0.295 0.295 0.000
Pr: 0.500 0.500 0.000
Pr: 0.705 0.705 0.000
Er: 0.120 0.620 0.500
Er: 0.191 0.191 0.000
Er: 0.380 0.880 0.500
Er: 0.620 0.120 0.500
Er: 0.809 0.809 0.000
Er: 0.880 0.380 0.500



Stability ranking, top and bottom: version 1 is the most stable and version 2 is the least stable.



Version 1
## Tb6PrEr (PBE-GGA)

Data for an optimized crystal structure of Tb6PrEr.

a b c (Å): 5.055 5.055 10.101
angles (deg): 90.00 90.00 90.00
Atoms (fractional coordinates):
Tb: 0.000 0.000 0.000
Tb: 0.000 0.000 0.500
Tb: 0.000 0.500 0.247
Tb: 0.000 0.500 0.753
Tb: 0.500 0.000 0.247
Tb: 0.500 0.000 0.753
Pr: 0.500 0.500 0.500
Er: 0.500 0.500 0.000



Version 2
## Tb6PrEr (PBE-GGA)

Data for an optimized crystal structure of Tb6PrEr.

a b c (Å): 6.078 6.078 8.480
angles (deg): 101.26 101.26 68.68
Atoms (fractional coordinates):
Tb: 0.041 0.567 0.197
Tb: 0.127 0.127 0.423
Tb: 0.433 0.959 0.803
Tb: 0.567 0.041 0.197
Tb: 0.873 0.873 0.577
Tb: 0.959 0.433 0.803
Pr: 0.500 0.500 0.500
Er: 0.500 0.500 0.000



Stability ranking, top and bottom: version 1 is the most stable and version 2 is the least stable.



Version 1
## Tb3Pr5Er (PBE-GGA)

Data for an optimized crystal structure of Tb3Pr5Er.

a b c (Å): 10.647 10.647 11.825
angles (deg): 121.49 121.49 34.69
Atoms (fractional coordinates):
Tb: 0.000 0.000 0.000
Tb: 0.000 0.000 0.500
Tb: 0.048 0.601 0.975
Tb: 0.399 0.952 0.525
Tb: 0.601 0.048 0.475
Tb: 0.952 0.399 0.025
Pr: 0.003 0.357 0.331
Pr: 0.192 0.533 0.341
Pr: 0.357 0.003 0.831
Pr: 0.411 0.589 0.750
Pr: 0.467 0.808 0.159
Pr: 0.533 0.192 0.841
Pr: 0.589 0.411 0.250
Pr: 0.643 0.997 0.169
Pr: 0.808 0.467 0.659
Pr: 0.997 0.643 0.669
Er: 0.099 0.901 0.250
Er: 0.901 0.099 0.750



Version 2
## Tb3Pr5Er (PBE-GGA)

Data for an optimized crystal structure of Tb3Pr5Er.

a b c (Å): 9.671 9.671 9.989
angles (deg): 120.53 120.53 74.80
Atoms (fractional coordinates):
Tb: 0.000 0.000 0.000
Tb: 0.006 0.006 0.322
Tb: 0.488 0.488 0.151
Tb: 0.500 0.500 0.500
Tb: 0.512 0.512 0.849
Tb: 0.994 0.994 0.678
Pr: 0.104 0.605 0.757
Pr: 0.230 0.230 0.736
Pr: 0.246 0.754 0.500
Pr: 0.251 0.251 0.088
Pr: 0.395 0.896 0.243
Pr: 0.605 0.104 0.757
Pr: 0.749 0.749 0.912
Pr: 0.754 0.246 0.500
Pr: 0.770 0.770 0.264
Pr: 0.896 0.395 0.243
Er: 0.271 0.271 0.448
Er: 0.729 0.729 0.552



Stability ranking, top and bottom: version 1 is the most stable and version 2 is the least stable.



Version 1
## Tb2Pr8Er (PBE-GGA)

Data for an optimized crystal structure of Tb2Pr8Er.

a b c (Å): 9.574 9.574 9.574
angles (deg): 145.02 128.37 63.89
Atoms (fractional coordinates):
Tb: 0.201 0.201 0.000
Tb: 0.799 0.799 0.000
Pr: 0.069 0.364 0.704
Pr: 0.208 0.000 0.208
Pr: 0.338 0.838 0.500
Pr: 0.340 0.636 0.704
Pr: 0.660 0.364 0.296
Pr: 0.662 0.162 0.500
Pr: 0.792 0.000 0.792
Pr: 0.931 0.636 0.296
Er: 0.500 0.500 0.000



Version 2
## Tb2Pr8Er (PBE-GGA)

Data for an optimized crystal structure of Tb2Pr8Er.

a b c (Å): 9.149 9.149 6.778
angles (deg): 99.91 99.91 44.24
Atoms (fractional coordinates):
Tb: 0.194 0.194 0.309
Tb: 0.806 0.806 0.691
Pr: 0.176 0.653 0.097
Pr: 0.244 0.244 0.822
Pr: 0.347 0.824 0.903
Pr: 0.404 0.404 0.582
Pr: 0.596 0.596 0.418
Pr: 0.653 0.176 0.097
Pr: 0.756 0.756 0.178
Pr: 0.824 0.347 0.903
Er: 0.000 0.000 0.500



Stability ranking, top and bottom: version 1 is the most stable and version 2 is the least stable.